Computed, not measured: a geometry-optimized RbMg2Ru structure at the PBE level of DFT.

Cell and atoms, written as CIF:
```
data_RbMg2Ru
_chemical_formula_sum 'Rb1 Mg2 Ru1'
_cell_length_a 5.084
_cell_length_b 5.084
_cell_length_c 5.084
_cell_angle_alpha 60.00
_cell_angle_beta 60.00
_cell_angle_gamma 60.00
_space_group_name_H-M_alt 'P 1'
_space_group_IT_number 1
loop_
_space_group_symop_operation_xyz
'x,y,z'
loop_
_atom_site_label
_atom_site_fract_x
_atom_site_fract_y
_atom_site_fract_z
_atom_site_occupancy
Ru1 0.500 0.500 0.500 1
Mg1 0.250 0.250 0.250 1
Mg2 0.750 0.750 0.750 1
Rb1 0.000 0.000 0.000 1
```

Results
relative energy among the computed polymorphs = 12.6 meV/atom
Fermi-level density of states = 4.7 states/eV/f.u.
total DFT energy (no corrections) = -2.5665 eV per atom